[1]
# ZnBiSbF2 (meta-GGA SCAN, PBEsol geometry)
# density of states at the Fermi level = 1.26 states/eV per cell
# VASP energy = -28.2782 eV per atom
# E_form (uncorrected) = -0.99 eV per atom
data_ZnBiSbF2
_chemical_formula_sum 'Zn1 Bi1 Sb1 F2'
_space_group_name_H-M_alt 'P 4/m m m'
_space_group_IT_number 123
_space_group_name_Hall '-P 4 2'
_cell_length_a 4.283
_cell_length_b 4.283
_cell_length_c 6.337
_cell_angle_alpha 90.00
_cell_angle_beta 90.00
_cell_angle_gamma 90.00
loop_
_atom_site_label
_atom_site_type_symbol
_atom_site_fract_x
_atom_site_fract_y
_atom_site_fract_z
Zn1 Zn 0.000 0.000 0.000
Bi1 Bi 0.500 0.500 0.000
Sb1 Sb 0.500 0.500 0.500
F1 F 0.000 0.500 0.500

---

[2]
# ZnP2PdBr (meta-GGA SCAN, PBEsol geometry)
# density of states at the Fermi level = 4.52 states/eV per cell
# VASP energy = -15.8809 eV per atom
# E_form (uncorrected) = 1.43 eV per atom
data_ZnP2PdBr
_chemical_formula_sum 'Zn1 P2 Pd1 Br1'
_space_group_name_H-M_alt 'P 4/m m m'
_space_group_IT_number 123
_space_group_name_Hall '-P 4 2'
_cell_length_a 4.851
_cell_length_b 4.851
_cell_length_c 4.627
_cell_angle_alpha 90.00
_cell_angle_beta 90.00
_cell_angle_gamma 90.00
loop_
_atom_site_label
_atom_site_type_symbol
_atom_site_fract_x
_atom_site_fract_y
_atom_site_fract_z
Zn1 Zn 0.000 0.000 0.000
P1 P 0.000 0.500 0.500
Pd1 Pd 0.500 0.500 0.000
Br1 Br 0.500 0.500 0.500

---

[3]
# Ca4IrO6 (meta-GGA SCAN, PBEsol geometry)
# density of states at the Fermi level = 19.45 states/eV per cell
# VASP energy = -15.9852 eV per atom
# E_form (uncorrected) = -2.61 eV per atom
data_Ca4IrO6
_chemical_formula_sum 'Ca24 Ir6 O36'
_space_group_name_H-M_alt 'R -3 c'
_space_group_IT_number 167
_space_group_name_Hall '-R 3 2"c'
_cell_length_a 9.2736
_cell_length_b 9.2736
_cell_length_c 11.1250
_cell_angle_alpha 90.00
_cell_angle_beta 90.00
_cell_angle_gamma 120.00
loop_
_atom_site_label
_atom_site_type_symbol
_atom_site_fract_x
_atom_site_fract_y
_atom_site_fract_z
Ca1 Ca 0.0000 0.0000 0.2500
Ca2 Ca 0.0000 0.3619 0.2500
Ir1 Ir 0.0000 0.0000 0.0000
O1 O 0.0316 0.1923 0.3955

---

[4]
# CaPt2 (meta-GGA SCAN, PBEsol geometry)
# ΔH_f (0 K) = -571 meV/atom
# density of states at the Fermi level = 3.16 states/eV per cell
# VASP energy = -50.5879 eV per atom
data_CaPt2
_chemical_formula_sum 'Ca2 Pt4'
_space_group_name_H-M_alt 'I 4/m m m'
_space_group_IT_number 139
_space_group_name_Hall '-I 4 2'
_cell_length_a 3.537
_cell_length_b 3.537
_cell_length_c 9.641
_cell_angle_alpha 90.00
_cell_angle_beta 90.00
_cell_angle_gamma 90.00
loop_
_atom_site_label
_atom_site_type_symbol
_atom_site_fract_x
_atom_site_fract_y
_atom_site_fract_z
Ca1 Ca 0.000 0.000 0.000
Pt1 Pt 0.000 0.000 0.289

---

[5]
# HfSIN2 (meta-GGA SCAN, PBEsol geometry)
# density of states at the Fermi level = 3.28 states/eV per cell
# VASP energy = -25.1250 eV per atom
# E_form (uncorrected) = 0.40 eV per atom
data_HfSIN2
_chemical_formula_sum 'Hf1 S1 I1 N2'
_space_group_name_H-M_alt 'P 4/m m m'
_space_group_IT_number 123
_space_group_name_Hall '-P 4 2'
_cell_length_a 4.099
_cell_length_b 4.099
_cell_length_c 5.341
_cell_angle_alpha 90.00
_cell_angle_beta 90.00
_cell_angle_gamma 90.00
loop_
_atom_site_label
_atom_site_type_symbol
_atom_site_fract_x
_atom_site_fract_y
_atom_site_fract_z
Hf1 Hf 0.000 0.000 0.000
S1 S 0.000 0.000 0.500
I1 I 0.500 0.500 0.500
N1 N 0.000 0.500 0.000

---

[6]
# Sr2RuPtO6 (meta-GGA SCAN, PBEsol geometry)
# density of states at the Fermi level = 2.98 states/eV per cell
# VASP energy = -20.5724 eV per atom
# E_form (uncorrected) = -1.88 eV per atom
data_Sr2RuPtO6
_chemical_formula_sum 'Sr4 Ru2 Pt2 O12'
_space_group_name_H-M_alt 'C 1 2/m 1'
_space_group_IT_number 12
_space_group_name_Hall '-C 2y'
_cell_length_a 9.625
_cell_length_b 5.487
_cell_length_c 5.689
_cell_angle_alpha 90.00
_cell_angle_beta 125.42
_cell_angle_gamma 90.00
loop_
_atom_site_label
_atom_site_type_symbol
_atom_site_fract_x
_atom_site_fract_y
_atom_site_fract_z
Sr1 Sr 0.250 0.000 0.244
Ru1 Ru 0.000 0.500 0.000
Pt1 Pt 0.000 0.000 0.500
O1 O 0.050 0.250 0.808
O2 O 0.245 0.500 0.330

---

[7]
# NbInIO2 (meta-GGA SCAN, PBEsol geometry)
# density of states at the Fermi level = 1.76 states/eV per cell
# VASP energy = -23.1655 eV per atom
# E_form (uncorrected) = -0.02 eV per atom
data_NbInIO2
_chemical_formula_sum 'Nb1 In1 I1 O2'
_space_group_name_H-M_alt 'P 4/m m m'
_space_group_IT_number 123
_space_group_name_Hall '-P 4 2'
_cell_length_a 4.121
_cell_length_b 4.121
_cell_length_c 5.781
_cell_angle_alpha 90.00
_cell_angle_beta 90.00
_cell_angle_gamma 90.00
loop_
_atom_site_label
_atom_site_type_symbol
_atom_site_fract_x
_atom_site_fract_y
_atom_site_fract_z
Nb1 Nb 0.000 0.000 0.000
In1 In 0.500 0.500 0.500
I1 I 0.500 0.500 0.000
O1 O 0.000 0.500 0.500

---

[8]
# Sc3AgIr (meta-GGA SCAN, PBEsol geometry)
# ΔH_f (0 K) = -298 meV/atom
# density of states at the Fermi level = 3.06 states/eV per cell
# VASP energy = -29.3330 eV per atom
data_Sc3AgIr
_chemical_formula_sum 'Sc3 Ag1 Ir1'
_space_group_name_H-M_alt 'P m -3 m'
_space_group_IT_number 221
_space_group_name_Hall '-P 4 2 3'
_cell_length_a 4.957
_cell_length_b 4.957
_cell_length_c 4.957
_cell_angle_alpha 90.00
_cell_angle_beta 90.00
_cell_angle_gamma 90.00
loop_
_atom_site_label
_atom_site_type_symbol
_atom_site_fract_x
_atom_site_fract_y
_atom_site_fract_z
Sc1 Sc 0.000 0.000 0.500
Ag1 Ag 0.500 0.500 0.500
Ir1 Ir 0.000 0.000 0.000

---

[9]
# Lu2Ga8Co (meta-GGA SCAN, PBEsol geometry)
# ΔH_f (0 K) = -522 meV/atom
# density of states at the Fermi level = 3.63 states/eV per cell
# VASP energy = -24.0460 eV per atom
data_Lu2Ga8Co
_chemical_formula_sum 'Lu2 Ga8 Co1'
_space_group_name_H-M_alt 'P 4/m m m'
_space_group_IT_number 123
_space_group_name_Hall '-P 4 2'
_cell_length_a 4.124
_cell_length_b 4.124
_cell_length_c 10.801
_cell_angle_alpha 90.00
_cell_angle_beta 90.00
_cell_angle_gamma 90.00
loop_
_atom_site_label
_atom_site_type_symbol
_atom_site_fract_x
_atom_site_fract_y
_atom_site_fract_z
Lu1 Lu 0.000 0.000 0.193
Ga1 Ga 0.000 0.500 0.000
Ga2 Ga 0.000 0.500 0.381
Ga3 Ga 0.500 0.500 0.194
Co1 Co 0.000 0.000 0.500

---

[10]
# NaCr2SbBr (meta-GGA SCAN, PBEsol geometry)
# density of states at the Fermi level = 4.30 states/eV per cell
# VASP energy = -18.8908 eV per atom
# E_form (uncorrected) = 0.65 eV per atom
data_NaCr2SbBr
_chemical_formula_sum 'Na1 Cr2 Sb1 Br1'
_space_group_name_H-M_alt 'P 4/m m m'
_space_group_IT_number 123
_space_group_name_Hall '-P 4 2'
_cell_length_a 4.880
_cell_length_b 4.880
_cell_length_c 5.837
_cell_angle_alpha 90.00
_cell_angle_beta 90.00
_cell_angle_gamma 90.00
loop_
_atom_site_label
_atom_site_type_symbol
_atom_site_fract_x
_atom_site_fract_y
_atom_site_fract_z
Na1 Na 0.000 0.000 0.000
Cr1 Cr 0.000 0.500 0.500
Sb1 Sb 0.500 0.500 0.000
Br1 Br 0.500 0.500 0.500

---

[11]
# MgTlPb2 (meta-GGA SCAN, PBEsol geometry)
# ΔH_f (0 K) = -24 meV/atom
# density of states at the Fermi level = 3.70 states/eV per cell
# VASP energy = -57.2477 eV per atom
data_MgTlPb2
_chemical_formula_sum 'Mg2 Tl2 Pb4'
_space_group_name_H-M_alt 'I 4/m m m'
_space_group_IT_number 139
_space_group_name_Hall '-I 4 2'
_cell_length_a 4.767
_cell_length_b 4.767
_cell_length_c 9.645
_cell_angle_alpha 90.00
_cell_angle_beta 90.00
_cell_angle_gamma 90.00
loop_
_atom_site_label
_atom_site_type_symbol
_atom_site_fract_x
_atom_site_fract_y
_atom_site_fract_z
Mg1 Mg 0.000 0.000 0.000
Tl1 Tl 0.000 0.000 0.500
Pb1 Pb 0.000 0.500 0.250

---

[12]
# InRe2Pb (meta-GGA SCAN, PBEsol geometry)
# energy above the lowest structure with this stoichiometry = 0.000 eV per formula unit
# ΔH_f (0 K) = 1124 meV/atom
# density of states at the Fermi level = 5.66 states/eV per cell
# VASP energy = -61.7165 eV per atom
data_InRe2Pb
_chemical_formula_sum 'In2 Re4 Pb2'
_space_group_name_H-M_alt 'I -4 m 2'
_space_group_IT_number 119
_space_group_name_Hall 'I -4 -2'
_cell_length_a 4.148
_cell_length_b 4.148
_cell_length_c 8.280
_cell_angle_alpha 90.00
_cell_angle_beta 90.00
_cell_angle_gamma 90.00
loop_
_atom_site_label
_atom_site_type_symbol
_atom_site_fract_x
_atom_site_fract_y
_atom_site_fract_z
In1 In 0.000 0.000 0.000
Re1 Re 0.000 0.000 0.500
Re2 Re 0.000 0.500 0.750
Pb1 Pb 0.000 0.500 0.250